Record 1
# LuTePO, optimized geometry, DFT PBE
data_LuTePO
_chemical_formula_sum 'Lu2 Te2 P2 O2'
_cell_length_a 5.519
_cell_length_b 5.519
_cell_length_c 5.048
_cell_angle_alpha 90.00
_cell_angle_beta 90.00
_cell_angle_gamma 90.00
_space_group_name_H-M_alt 'P 4/n m m'
_space_group_IT_number 129
loop_
_space_group_symop_operation_xyz
'x,y,z'
'-x,-y,-z'
'-y+1/2,x,z'
'y+1/2,-x,-z'
'-x+1/2,-y+1/2,z'
'x+1/2,y+1/2,-z'
'y,-x+1/2,z'
'-y,x+1/2,-z'
'x+1/2,-y,-z'
'-x+1/2,y,z'
'-y,-x,-z'
'y,x,z'
'-x,y+1/2,-z'
'x,-y+1/2,z'
'y+1/2,x+1/2,-z'
'-y+1/2,-x+1/2,z'
loop_
_atom_site_label
_atom_site_fract_x
_atom_site_fract_y
_atom_site_fract_z
_atom_site_occupancy
Lu1 0.250 0.750 0.000 1
Te1 0.250 0.250 0.497 1
P1 0.250 0.250 0.995 1
O1 0.250 0.750 0.500 1
# Final energy, eV per atom: -5.298
# Magnetization, Bohr magnetons per cell: 0.0

=====

Record 2
# NdErPd, optimized geometry, DFT PBE
data_NdErPd
_chemical_formula_sum 'Nd4 Er4 Pd4'
_cell_length_a 6.970
_cell_length_b 6.970
_cell_length_c 6.970
_cell_angle_alpha 90.00
_cell_angle_beta 90.00
_cell_angle_gamma 90.00
_space_group_name_H-M_alt 'F -4 3 m'
_space_group_IT_number 216
_space_group_name_Hall 'F -4 2 3'
loop_
_atom_site_label
_atom_site_fract_x
_atom_site_fract_y
_atom_site_fract_z
_atom_site_occupancy
Nd1 0.000 0.000 0.000 1
Er1 0.000 0.000 0.500 1
Pd1 0.250 0.250 0.750 1
# Final energy, eV per atom: -5.269
# Magnetization, Bohr magnetons per cell: 0.0

=====

Record 3
# GeAsPtO, optimized geometry, DFT PBE
data_GeAsPtO
_chemical_formula_sum 'Ge2 As2 Pt2 O2'
_cell_length_a 3.799
_cell_length_b 3.799
_cell_length_c 9.706
_cell_angle_alpha 90.00
_cell_angle_beta 90.00
_cell_angle_gamma 90.00
_space_group_name_H-M_alt 'P 4/n m m'
_space_group_IT_number 129
loop_
_space_group_symop_operation_xyz
'x,y,z'
'-x,-y,-z'
'-y+1/2,x,z'
'y+1/2,-x,-z'
'-x+1/2,-y+1/2,z'
'x+1/2,y+1/2,-z'
'y,-x+1/2,z'
'-y,x+1/2,-z'
'x+1/2,-y,-z'
'-x+1/2,y,z'
'-y,-x,-z'
'y,x,z'
'-x,y+1/2,-z'
'x,-y+1/2,z'
'y+1/2,x+1/2,-z'
'-y+1/2,-x+1/2,z'
loop_
_atom_site_label
_atom_site_fract_x
_atom_site_fract_y
_atom_site_fract_z
_atom_site_occupancy
Ge1 0.250 0.250 0.101 1
As1 0.250 0.250 0.673 1
Pt1 0.250 0.750 0.500 1
O1 0.250 0.750 0.000 1
# Final energy, eV per atom: -5.613
# Magnetization, Bohr magnetons per cell: 0.0